No. 1
Computed, not measured: ZnCd2Pd after structural relaxation at the PBE level of DFT.

Output
The calculated volume is 156.7 Å³ per cell. Its space group is I-42d. Its energy relative to the elements is 0.02 eV/atom.

abc: 7.5360 7.5360 6.0008
angles: 51.10 51.10 90.00
Fractional positions:
Cd  0.1265  0.6250  0.2500
Cd  0.6235  0.1250  0.2500
Cd  0.8750  0.8735  0.7500
Cd  0.3750  0.3765  0.7500
Pd  0.7500  0.2500  0.5000
Pd  0.0000  0.0000  0.0000
Zn  0.2500  0.7500  0.5000
Zn  0.5000  0.5000  0.0000

***

No. 2
Computed, not measured: SrTbSe2 after structural relaxation at the PBE level of DFT.

Output
The calculated volume is 108.7 Å³ per cell. Its space group is R-3m. The uncorrected formation energy comes out at -1891.0 meV/atom.

abc: 4.2110 4.2110 7.4818
angles: 73.66 73.66 60.00
Fractional positions:
Sr  0.5000  0.5000  0.5000
Se  0.2561  0.2561  0.2318
Se  0.7439  0.7439  0.7682
Tb  0.0000  0.0000  0.0000

***

No. 3
Computed, not measured: InSi2F after structural relaxation at the PBE level of DFT.

Output
The calculated volume is 140.7 Å³ per cell. Its space group is I-42d. The uncorrected formation energy comes out at -391.0 meV/atom.

abc: 3.5511 3.5511 11.4345
angles: 81.07 81.07 90.00
Fractional positions:
In  0.0000  0.0000  0.0000
In  0.7500  0.2500  0.5000
F  0.2500  0.7500  0.5000
F  0.5000  0.5000  0.0000
Si  0.1125  0.6250  0.2500
Si  0.8750  0.8875  0.7500
Si  0.3750  0.3625  0.7500
Si  0.6375  0.1250  0.2500

***

No. 4
Computed, not measured: KScGe2Cl8 after structural relaxation at the PBE level of DFT.

Output
The calculated volume is 377.1 Å³ per cell. Its space group is P-1. The uncorrected formation energy comes out at -1413.9 meV/atom.

abc: 7.1384 6.1422 8.6978
angles: 93.73 85.50 84.06
Fractional positions:
Cl  0.2957  0.1950  0.9403
Cl  0.8985  0.2937  0.2232
Cl  0.6481  0.7229  0.4590
Cl  0.1015  0.7063  0.7768
Cl  0.3519  0.2771  0.5410
Cl  0.8196  0.2075  0.8225
Cl  0.7043  0.8050  0.0597
Cl  0.1804  0.7925  0.1775
K  0.0000  0.0000  0.5000
Ge  0.4067  0.4604  0.7682
Ge  0.5933  0.5396  0.2318
Sc  0.0000  0.0000  0.0000